VASP calculation (PBE with a Hubbard U) on KVCu2O6 after structural relaxation.

Computed properties:
Space-group type: C2/c (15)
Final energy (eV/atom): -5.697
Total magnetic moment (μB/atom): 0.173

Cell: 6.965 7.563 7.563 Å, 57.05 62.95 62.95°
Site moments in Bohr magnetons follow the coordinates.
Positions (direct):
O (0.516, 0.700, 0.472)  0.02
O (0.587, 0.690, 0.805)  0.43
O (0.413, 0.310, 0.195)  0.43
O (0.691, 0.804, 0.019)  0.02
O (0.984, 0.528, 0.300)  0.02
O (0.913, 0.195, 0.310)  0.43
O (0.309, 0.196, 0.981)  0.02
O (0.087, 0.805, 0.690)  0.43
O (0.809, 0.981, 0.196)  0.02
O (0.191, 0.019, 0.804)  0.02
O (0.484, 0.300, 0.528)  0.02
O (0.016, 0.472, 0.700)  0.02
Cu (0.651, 0.205, 0.298)  0.28
Cu (0.849, 0.702, 0.795)  0.28
Cu (0.151, 0.298, 0.205)  0.28
Cu (0.349, 0.795, 0.702)  0.28
K (0.750, 0.251, 0.749)  0.00
K (0.250, 0.749, 0.251)  0.00
V (0.250, 0.247, 0.753)  0.04
V (0.750, 0.753, 0.247)  0.04